# MnO3

MnO3 after structural relaxation (PBE+U, the Alexandria database).

Calculated values
- density (kg/m³) = 3687
- energy (eV/atom) = -6.315
- DOS(E_F) (states/eV/atom) = 0.50
- SG = Imma (74)

Lattice parameters (Å, degrees): 4.962 4.962 4.962 113.99 113.09 101.62
Last column: magnetic moment on the atom in μB.
Sites, in units of the cell vectors:
Mn 0.500 0.500 0.000  3.75
Mn 0.000 0.000 0.000  3.75
O 0.750 0.571 0.821  -0.26
O 0.250 0.429 0.179  -0.26
O 0.110 0.110 0.500  0.05
O 0.390 0.890 0.000  0.05
O 0.610 0.110 0.000  0.05
O 0.890 0.890 0.500  0.05